Below is a relaxed EuMoO2 crystal, with properties calculated at the PBE with a Hubbard U level.

Unit cell a=2.923 b=2.923 c=5.945 alpha=90.00 beta=90.00 gamma=90.00
Atoms (fractional coordinates):
Eu  0.000  0.000  0.000
Mo  0.000  0.000  0.500
O  0.500  0.500  0.278
O  0.500  0.500  0.722

## Properties
- M_tot: 7.14 μB per formula unit
- Raw total energy: -7.839 eV/atom
- DOS(E_F): 0.81 states/eV/f.u.